# Zn2GaAgSb | the Alexandria database | PBE | optimized geometry
# Calculated total energy ... -1.891 eV/atom
data_Zn2GaAgSb
_cell_length_a 5.2218
_cell_length_b 5.2218
_cell_length_c 5.4723
_cell_angle_alpha 90.00
_cell_angle_beta 90.00
_cell_angle_gamma 90.00
_symmetry_space_group_name_H-M 'P 4/m m m'
_symmetry_Int_Tables_number 123
_symmetry_space_group_name_Hall '-P 4 2'
loop_
_atom_site_label
_atom_site_type_symbol
_atom_site_fract_x
_atom_site_fract_y
_atom_site_fract_z
Zn1 Zn 0.0000 0.5000 0.0000
Ga1 Ga 0.0000 0.0000 0.5000
Ag1 Ag 0.5000 0.5000 0.5000
Sb1 Sb 0.0000 0.0000 0.0000